Entry 1:
# Y3Mg, relaxed, DFT PBE-GGA
# **Uncorrected energy**: -42.25 eV per cell
data_Y3Mg
_space_group_name_H-M_alt 'I m m 2'
_space_group_IT_number 44
_cell_length_a 3.840
_cell_length_b 11.501
_cell_length_c 5.462
_cell_angle_alpha 90.00
_cell_angle_beta 90.00
_cell_angle_gamma 90.00
loop_
_space_group_symop_operation_xyz
'x,y,z'
'-x,-y,z'
'-x,y,z'
'x,-y,z'
'x+1/2,y+1/2,z+1/2'
'-x+1/2,-y+1/2,z+1/2'
'-x+1/2,y+1/2,z+1/2'
'x+1/2,-y+1/2,z+1/2'
loop_
_atom_site_label
_atom_site_fract_x
_atom_site_fract_y
_atom_site_fract_z
_atom_site_occupancy
Y1 0.000 0.000 0.000 1
Y2 0.000 0.226 0.501 1
Mg1 0.000 0.500 0.999 1



Entry 2:
# Y3Mg, relaxed, DFT PBE-GGA
# **Uncorrected energy**: -41.74 eV per cell
data_Y3Mg
_space_group_name_H-M_alt 'I 4/m m m'
_space_group_IT_number 139
_space_group_name_Hall '-I 4 2'
_cell_length_a 4.952
_cell_length_b 4.952
_cell_length_c 9.777
_cell_angle_alpha 90.00
_cell_angle_beta 90.00
_cell_angle_gamma 90.00
loop_
_atom_site_label
_atom_site_fract_x
_atom_site_fract_y
_atom_site_fract_z
_atom_site_occupancy
Y1 0.000 0.000 0.000 1
Y2 0.000 0.500 0.250 1
Mg1 0.000 0.000 0.500 1



Entry 3:
# Y3Mg4, relaxed, DFT PBE-GGA
# **E above lowest polymorph**: 228.0 meV/atom
data_Y3Mg4
_space_group_name_H-M_alt 'P 6/m m m'
_space_group_IT_number 191
_space_group_name_Hall '-P 6 2'
_cell_length_a 6.4538
_cell_length_b 6.4538
_cell_length_c 5.7786
_cell_angle_alpha 90.00
_cell_angle_beta 90.00
_cell_angle_gamma 120.00
loop_
_atom_site_label
_atom_site_fract_x
_atom_site_fract_y
_atom_site_fract_z
_atom_site_occupancy
Y1 0.0000 0.5000 0.0000 1
Mg1 0.0000 0.0000 0.2465 1
Mg2 0.3333 0.6667 0.5000 1